! Ni3SnOs, relaxed, DFT GGA-PBE; values from VASP
&SYSTEM
  ibrav = 0, nat = 5, ntyp = 3
/
ATOMIC_SPECIES
Ni 58.69 Ni.upf
Os 190.23 Os.upf
Sn 118.71 Sn.upf
CELL_PARAMETERS angstrom
4.548 0.000 0.000
0.000 4.548 0.000
0.000 0.000 4.548
ATOMIC_POSITIONS crystal
Ni 0.000 0.500 0.000
Ni 0.500 0.000 0.000
Ni 0.000 0.000 0.500
Os 0.000 0.000 0.000
Sn 0.500 0.500 0.500
! Relative energy among the computed polymorphs in eV per atom: 0.000
! Energy of formation from the pure elements in eV/atom: 1.0909

! LaSn2IrPd, relaxed, DFT GGA-PBE; values from VASP
&SYSTEM
  ibrav = 0, nat = 5, ntyp = 4
/
ATOMIC_SPECIES
Sn 118.71 Sn.upf
Pd 106.42 Pd.upf
Ir 192.22 Ir.upf
La 138.91 La.upf
CELL_PARAMETERS angstrom
5.868 0.000 0.000
0.000 4.926 0.000
0.000 0.000 5.868
ATOMIC_POSITIONS crystal
Sn 0.000 0.000 0.500
Sn 0.500 0.000 0.000
Pd 0.000 0.500 0.000
Ir 0.500 0.500 0.500
La 0.000 0.000 0.000
! Energy of formation from the pure elements in eV/atom: 1.5475

! TaReRh, relaxed, DFT GGA-PBE; values from VASP
&SYSTEM
  ibrav = 0, nat = 3, ntyp = 3
/
ATOMIC_SPECIES
Rh 102.91 Rh.upf
Re 186.21 Re.upf
Ta 180.95 Ta.upf
CELL_PARAMETERS angstrom
-0.054 -5.112 0.639
-4.119 -3.028 0.638
1.943 3.789 -2.901
ATOMIC_POSITIONS crystal
Rh 0.327 0.327 0.000
Re 0.010 0.010 0.000
Ta 0.664 0.664 0.000
! Relative energy among the computed polymorphs in eV per atom: 0.184
! Energy of formation from the pure elements in eV/atom: -0.0165

# NpInO3

An optimized crystal structure of NpInO3 (GGA-PBE, Alexandria). Values from VASP.

Structure (Quantum ESPRESSO input):
```
&SYSTEM
  ibrav = 0, nat = 5, ntyp = 3
/
ATOMIC_SPECIES
O 16.00 O.upf
Np 237.00 Np.upf
In 114.82 In.upf
CELL_PARAMETERS angstrom
-0.409 -3.463 2.552
-1.883 -2.161 -3.234
3.868 -1.418 -1.304
ATOMIC_POSITIONS crystal
O 0.500 0.000 0.000
O 0.000 0.000 0.500
O 0.000 0.500 0.000
Np 0.000 0.000 0.000
In 0.500 0.500 0.500
```

# TlCoTe2

An optimized crystal structure of TlCoTe2 (GGA-PBE, Alexandria). Values from VASP.

Structure (Quantum ESPRESSO input):
```
&SYSTEM
  ibrav = 0, nat = 4, ntyp = 3
/
ATOMIC_SPECIES
Te 127.60 Te.upf
Tl 204.38 Tl.upf
Co 58.93 Co.upf
CELL_PARAMETERS angstrom
5.201 0.000 0.000
2.600 4.504 0.000
2.600 1.501 4.247
ATOMIC_POSITIONS crystal
Te 0.250 0.250 0.250
Te 0.000 0.000 0.000
Tl 0.750 0.750 0.750
Co 0.500 0.500 0.500
```

! ScRhPb2, relaxed, DFT GGA-PBE; values from VASP
&SYSTEM
  ibrav = 0, nat = 4, ntyp = 3
/
ATOMIC_SPECIES
Sc 44.96 Sc.upf
Pb 207.20 Pb.upf
Rh 102.91 Rh.upf
CELL_PARAMETERS angstrom
3.376 0.000 0.000
0.000 3.376 0.000
0.000 0.000 8.272
ATOMIC_POSITIONS crystal
Sc 0.500 0.500 0.694
Pb 0.500 0.500 0.302
Pb 0.000 0.000 0.964
Rh 0.000 0.000 0.540
! Energy of formation from the pure elements in eV/atom: -0.3409

! TbInHgBi, relaxed, DFT GGA-PBE; values from VASP
&SYSTEM
  ibrav = 0, nat = 4, ntyp = 4
/
ATOMIC_SPECIES
In 114.82 In.upf
Bi 208.98 Bi.upf
Hg 200.59 Hg.upf
Tb 158.93 Tb.upf
CELL_PARAMETERS angstrom
-2.697 2.297 -4.102
1.598 -0.851 -5.109
-3.015 -3.055 -3.310
ATOMIC_POSITIONS crystal
In 0.000 0.000 0.000
Bi 0.750 0.750 0.750
Hg 0.250 0.250 0.250
Tb 0.500 0.500 0.500
! Relative energy among the computed polymorphs in eV per atom: 0.131
! Energy of formation from the pure elements in eV/atom: -0.2587

! Dy2Zn16Cu, relaxed, DFT GGA-PBE; values from VASP
&SYSTEM
  ibrav = 0, nat = 19, ntyp = 3
/
ATOMIC_SPECIES
Zn 65.41 Zn.upf
Dy 162.50 Dy.upf
Cu 63.55 Cu.upf
CELL_PARAMETERS angstrom
-1.909 2.536 5.979
2.918 -4.697 3.905
5.690 3.409 1.352
ATOMIC_POSITIONS crystal
Zn 0.000 0.294 0.705
Zn 0.506 0.997 0.997
Zn 0.838 0.354 0.354
Zn 0.648 0.158 0.648
Zn 0.158 0.648 0.648
Zn 0.099 0.099 0.099
Zn 0.997 0.506 0.997
Zn 0.294 0.705 0.000
Zn 0.997 0.997 0.506
Zn 0.354 0.838 0.354
Zn 0.000 0.705 0.294
Zn 0.294 0.000 0.705
Zn 0.705 0.000 0.294
Zn 0.648 0.648 0.158
Zn 0.705 0.294 0.000
Zn 0.354 0.354 0.838
Dy 0.336 0.336 0.336
Dy 0.667 0.667 0.667
Cu 0.901 0.901 0.901
! Energy of formation from the pure elements in eV/atom: -0.2296

Respective energy values: -5.42; -3.85; -10.57; -8.31; -3.26; -5.62; -3.15; -2.00 eV/atom.